[1]
4
Lattice="4.820 0.000 0.000 0.000 4.868 0.000 -0.225 0.000 4.898" Properties=species:S:1:pos:R:3 comment="BaSbAs2 | the Alexandria database | meta-GGA SCAN | PBEsol geometry" raw_formation_energy_ev_per_atom=-0.5229 total_energy_ry_per_atom=-2.1918 spacegroup="Pm (6)" pbc="T T T"
Ba 0.000 0.000 0.000
Sb 3.470 2.434 2.126
As 2.078 2.434 4.468
As 2.212 0.000 2.612

---

[2]
4
Lattice="0.000 3.853 3.853 3.853 0.000 3.853 3.853 3.853 0.000" Properties=species:S:1:pos:R:3 comment="BaSb2As | the Alexandria database | meta-GGA SCAN | PBEsol geometry" raw_formation_energy_ev_per_atom=-0.2064 total_energy_ry_per_atom=-2.4822 spacegroup="F-43m (216)" pbc="T T T"
Ba 0.000 0.000 0.000
Sb 1.926 1.926 1.926
Sb 3.853 3.853 3.853
As 5.779 5.779 5.779

---

[3]
4
Lattice="4.810 -2.215 0.000 4.810 2.215 0.000 -2.015 0.000 5.294" Properties=species:S:1:pos:R:3 comment="BaSbAs2 | the Alexandria database | meta-GGA SCAN | PBEsol geometry" raw_formation_energy_ev_per_atom=-0.5487 total_energy_ry_per_atom=-2.1937 spacegroup="C2/m (12)" pbc="T T T"
Ba 0.000 0.000 0.000
Sb 3.803 0.000 2.647
As 0.930 0.000 3.250
As 6.676 0.000 2.045

---

Please write out number 3 again, unchanged.
4
Lattice="4.810 -2.215 0.000 4.810 2.215 0.000 -2.015 0.000 5.294" Properties=species:S:1:pos:R:3 comment="BaSbAs2 | the Alexandria database | meta-GGA SCAN | PBEsol geometry" raw_formation_energy_ev_per_atom=-0.5487 total_energy_ry_per_atom=-2.1937 spacegroup="C2/m (12)" pbc="T T T"
Ba 0.000 0.000 0.000
Sb 3.803 0.000 2.647
As 0.930 0.000 3.250
As 6.676 0.000 2.045